1.
First-principles (GGA-PBE) data for Rb2AlBiO4 after structural relaxation, as listed in Alexandria.

Output
As for the density of states at the Fermi level: 0.000 states/eV/atom. As for the total magnetic moment: 0.000 μB/atom. Its volume is 205 Å³/f.u. The uncorrected formation energy comes out at -1.59 eV/atom. Its symmetry is Fddd.

Cell lengths 5.727, 6.934, 11.704 Å; angles 84.20, 75.84, 65.61 degrees
Fractional coordinates of all 16 atoms:
Rb: 0.564 0.500 0.871
Rb: 0.814 0.000 0.371
Al: 0.500 0.000 0.000
Rb: 0.186 0.000 0.629
O: 0.494 0.325 0.579
O: 0.570 0.175 0.079
O: 0.823 0.825 0.921
O: 0.398 0.675 0.421
O: 0.352 0.825 0.079
Bi: 0.750 0.500 0.500
Al: 0.250 0.500 0.500
Bi: 0.000 0.000 0.000
O: 0.927 0.675 0.579
O: 0.256 0.175 0.921
O: 0.180 0.325 0.421
Rb: 0.936 0.500 0.129

---

2.
First-principles (GGA-PBE) data for AlReBiO6 after structural relaxation, as listed in Alexandria.

Output
As for the density of states at the Fermi level: 0.223 states/eV/atom. As for the total magnetic moment: 0.106 μB/atom. Its volume is 113 Å³/f.u. The uncorrected formation energy comes out at -1.84 eV/atom. Its symmetry is P312.

Cell lengths 4.981, 5.123, 5.123 Å; angles 120.00, 90.00, 90.00 degrees
Site moments in Bohr magnetons follow the coordinates.
Fractional coordinates of all 9 atoms:
O: 0.288 0.961 0.669  0.01
Re: 0.500 0.667 0.333  0.73
O: 0.712 0.708 0.669  0.01
Al: 0.500 0.000 0.000  0.01
O: 0.288 0.708 0.039  0.01
Bi: 0.000 0.333 0.667  0.06
O: 0.712 0.961 0.292  0.01
O: 0.712 0.331 0.039  0.01
O: 0.288 0.331 0.292  0.01

---

3.
First-principles (GGA-PBE) data for AlBiRhO6 after structural relaxation, as listed in Alexandria.

Output
As for the density of states at the Fermi level: 0.613 states/eV/atom. As for the total magnetic moment: 0.000 μB/atom. Its volume is 106 Å³/f.u. The uncorrected formation energy comes out at -1.37 eV/atom. Its symmetry is P-31c.

Cell lengths 5.101, 5.101, 9.366 Å; angles 90.00, 90.00, 120.00 degrees
Fractional coordinates of all 18 atoms:
O: 0.990 0.359 0.137
O: 0.369 0.359 0.363
O: 0.990 0.631 0.363
Rh: 0.333 0.667 0.250
O: 0.010 0.641 0.863
Al: 0.667 0.333 0.250
O: 0.631 0.641 0.637
Al: 0.333 0.667 0.750
Bi: 0.000 0.000 0.000
O: 0.641 0.631 0.137
Bi: 0.000 0.000 0.500
O: 0.631 0.990 0.863
O: 0.359 0.369 0.863
O: 0.369 0.010 0.137
O: 0.010 0.369 0.637
O: 0.641 0.010 0.363
Rh: 0.667 0.333 0.750
O: 0.359 0.990 0.637

---

4.
First-principles (GGA-PBE) data for Al2BiRuO after structural relaxation, as listed in Alexandria.

Output
As for the density of states at the Fermi level: 1.164 states/eV/atom. As for the total magnetic moment: 0.536 μB/atom. Its volume is 157 Å³/f.u. The uncorrected formation energy comes out at 1.67 eV/atom. Its symmetry is P4/mmm.

Cell lengths 5.552, 5.102, 5.552 Å; angles 90.00, 90.00, 90.00 degrees
Site moments in Bohr magnetons follow the coordinates.
Fractional coordinates of all 5 atoms:
Al: 0.500 0.000 0.000  -0.03
Ru: 0.000 0.500 0.000  1.77
Bi: 0.000 0.000 0.000  -0.03
Al: 0.000 0.000 0.500  0.00
O: 0.500 0.500 0.500  0.87

---

5.
First-principles (GGA-PBE) data for AlBi2RuO6 after structural relaxation, as listed in Alexandria.

Output
As for the density of states at the Fermi level: 0.386 states/eV/atom. As for the total magnetic moment: 0.102 μB/atom. Its volume is 123 Å³/f.u. The uncorrected formation energy comes out at -1.39 eV/atom. Its symmetry is Pmmn.

Cell lengths 5.407, 5.783, 7.853 Å; angles 90.00, 90.00, 90.00 degrees
Site moments in Bohr magnetons follow the coordinates.
Fractional coordinates of all 20 atoms:
O: 0.000 0.784 0.243  0.06
O: 0.500 0.216 0.257  0.06
Ru: 0.000 0.737 0.500  0.77
Bi: 0.000 0.221 0.708  0.00
Al: 0.000 0.750 0.000  0.00
O: 0.733 0.543 0.000  0.04
Bi: 0.500 0.779 0.792  0.00
O: 0.267 0.543 0.000  0.04
O: 0.233 0.021 0.500  0.01
O: 0.767 0.021 0.500  0.01
O: 0.233 0.457 0.500  0.04
O: 0.000 0.784 0.757  0.06
O: 0.267 0.979 0.000  0.01
O: 0.500 0.216 0.743  0.06
Bi: 0.500 0.779 0.208  0.00
Al: 0.500 0.250 0.500  0.00
Ru: 0.500 0.263 0.000  0.77
O: 0.767 0.457 0.500  0.04
O: 0.733 0.979 0.000  0.01
Bi: 0.000 0.221 0.292  0.00

---

6.
First-principles (GGA-PBE) data for Al2BiSbO8 after structural relaxation, as listed in Alexandria.

Output
As for the density of states at the Fermi level: 0.016 states/eV/atom. As for the total magnetic moment: 0.000 μB/atom. Its volume is 133 Å³/f.u. The uncorrected formation energy comes out at -1.86 eV/atom. Its symmetry is Cmmm.

Cell lengths 4.609, 4.610, 6.266 Å; angles 90.00, 90.00, 91.11 degrees
Fractional coordinates of all 12 atoms:
Bi: 0.000 0.000 0.500
O: 0.676 0.676 0.500
Al: 0.500 0.500 0.758
Al: 0.500 0.500 0.242
O: 0.690 0.690 0.000
O: 0.207 0.793 0.236
O: 0.207 0.793 0.764
O: 0.310 0.310 0.000
Sb: 0.000 0.000 0.000
O: 0.793 0.207 0.236
O: 0.793 0.207 0.764
O: 0.324 0.324 0.500

---

7.
First-principles (GGA-PBE) data for AlBi3Sb2O11 after structural relaxation, as listed in Alexandria.

Output
As for the density of states at the Fermi level: 0.000 states/eV/atom. As for the total magnetic moment: 0.000 μB/atom. Its volume is 219 Å³/f.u. The uncorrected formation energy comes out at -1.60 eV/atom. Its symmetry is Pc.

Cell lengths 9.526, 9.590, 9.580 Å; angles 90.00, 90.15, 90.00 degrees
Fractional coordinates of all 68 atoms:
Bi: 0.508 0.988 0.484
O: 0.361 0.847 0.647
O: 0.749 0.961 0.591
O: 0.247 0.750 0.114
O: 0.744 0.540 0.914
O: 0.091 0.258 0.536
Bi: 0.864 0.399 0.127
O: 0.641 0.346 0.146
Sb: 0.749 0.748 0.598
Sb: 0.899 0.754 0.245
O: 0.248 0.463 0.090
O: 0.747 0.612 0.240
O: 0.849 0.358 0.355
Bi: 0.590 0.361 0.372
Bi: 0.090 0.639 0.872
Bi: 0.917 0.141 0.376
O: 0.037 0.915 0.249
Sb: 0.753 0.409 0.753
Sb: 0.249 0.252 0.098
Bi: 0.641 0.089 0.127
O: 0.464 0.591 0.244
O: 0.652 0.140 0.353
O: 0.756 0.959 0.913
O: 0.908 0.755 0.034
O: 0.964 0.097 0.755
O: 0.114 0.246 0.261
O: 0.037 0.591 0.255
O: 0.250 0.750 0.391
O: 0.349 0.642 0.855
O: 0.141 0.654 0.646
Al: 0.092 0.255 0.742
Bi: 0.364 0.601 0.627
Sb: 0.253 0.591 0.253
O: 0.095 0.242 0.956
Bi: 0.508 0.512 0.004
O: 0.249 0.039 0.091
O: 0.883 0.744 0.761
Bi: 0.008 0.488 0.504
Al: 0.592 0.745 0.242
O: 0.152 0.860 0.853
O: 0.383 0.256 0.261
O: 0.964 0.409 0.744
Sb: 0.752 0.091 0.753
O: 0.747 0.250 0.614
Bi: 0.008 0.012 0.984
O: 0.748 0.537 0.590
O: 0.907 0.749 0.459
O: 0.408 0.245 0.534
O: 0.537 0.085 0.749
O: 0.407 0.251 0.959
O: 0.247 0.388 0.740
O: 0.737 0.887 0.239
O: 0.595 0.758 0.456
O: 0.464 0.903 0.255
O: 0.861 0.153 0.147
Al: 0.749 0.751 0.913
Bi: 0.417 0.859 0.876
O: 0.537 0.409 0.755
O: 0.750 0.250 0.891
O: 0.244 0.460 0.414
Bi: 0.141 0.911 0.627
Al: 0.249 0.249 0.413
O: 0.591 0.742 0.036
O: 0.256 0.041 0.413
Sb: 0.252 0.909 0.253
O: 0.614 0.754 0.761
O: 0.237 0.113 0.739
Sb: 0.399 0.246 0.745

---

8.
First-principles (GGA-PBE) data for Sm2AlBiO6 after structural relaxation, as listed in Alexandria.

Output
As for the density of states at the Fermi level: 0.000 states/eV/atom. As for the total magnetic moment: 0.000 μB/atom. Its volume is 152 Å³/f.u. The uncorrected formation energy comes out at -2.55 eV/atom. Its symmetry is P4mm.

Cell lengths 5.289, 5.355, 5.355 Å; angles 90.00, 90.00, 90.00 degrees
Fractional coordinates of all 10 atoms:
O: 0.736 0.769 0.231
Bi: 0.550 0.500 0.500
O: 0.736 0.769 0.769
O: 0.736 0.231 0.769
Al: 0.600 0.000 0.000
O: 0.114 0.500 0.500
O: 0.736 0.231 0.231
Sm: 0.990 0.000 0.500
O: 0.259 0.000 0.000
Sm: 0.990 0.500 0.000